No. 1
A relaxed structure of AlPdO3, computed with PBE-GGA.

POSCAR file:
```
AlPdO3
1.0
-2.987 -1.925 0.943
0.994 0.189 3.535
-1.899 3.127 0.367
O Pd Al
3 1 1
Direct
0.000 0.500 0.000
0.000 0.000 0.500
0.500 0.000 0.000
0.500 0.500 0.500
0.000 0.000 0.000
```

Computed properties:
- SG: Pm-3m, No. 221
- Raw formation energy: -1.1165 eV/atom


No. 2
A relaxed structure of KHgAu, computed with PBE-GGA.

POSCAR file:
```
KHgAu
1.0
4.646 0.003 0.003
0.001 6.134 0.892
2.317 3.972 7.289
K Au Hg
2 2 2
Direct
0.090 0.394 0.095
0.330 0.234 0.614
0.429 0.885 0.417
0.991 0.743 0.292
0.795 0.691 0.686
0.625 0.937 0.023
```

Computed properties:
- SG: C2/m, No. 12
- Energy of formation: -0.81 eV per formula unit
- Offset from the most stable computed form: 0.08 eV/f.u.


No. 3
A relaxed structure of TmZnGa3, computed with PBE-GGA.

POSCAR file:
```
TmZnGa3
1.0
-0.033 -3.465 2.243
2.381 -1.924 -2.941
5.549 -1.032 2.248
Zn Ga Tm
1 3 1
Direct
0.012 0.800 0.674
0.649 0.972 0.401
0.149 0.432 0.412
0.797 0.615 0.119
0.401 0.206 0.905
```

Computed properties:
- SG: P1, No. 1
- Energy of formation: -1.67 eV per formula unit


No. 4
A relaxed structure of FeTcAg2, computed with PBE-GGA.

POSCAR file:
```
FeTcAg2
1.0
2.661 0.000 0.000
0.000 4.876 -0.001
0.000 3.224 4.812
Fe Tc Ag
1 1 2
Direct
0.500 0.500 0.500
0.000 0.000 0.500
0.000 0.000 0.000
0.500 0.500 0.000
```

Computed properties:
- SG: P2/m, No. 10
- Energy of formation: 2.02 eV per formula unit
- Offset from the most stable computed form: 0.82 eV/f.u.